# YSc2Al

A geometry-optimized YSc2Al structure (GGA-PBE, Alexandria).

Output
V   24.2 Å³/atom
Symmetry   P4mm
Total magnetization   0.001 μB per formula unit
D(E_F)   1.304 states/eV/atom
Energy of formation from the pure elements   -0.192 eV per atom

The structure in POSCAR format:
```
YSc2Al
1.0
-2.2858 1.3389 -2.0684
-0.1454 -2.8898 -1.7099
-6.2604 -2.7321 5.1498
Sc Al Y
2 1 1
Cartesian
-2.6793 -1.4142 -0.6851
-6.0927 -2.6589 5.0118
-6.0115 -2.8684 2.0560
-3.2988 -1.4396 2.7136
```

# Y3Sc2Al2

A geometry-optimized Y3Sc2Al2 structure (GGA-PBE, Alexandria).

Output
V   25.7 Å³/atom
Symmetry   Immm
Total magnetization   0.000 μB per formula unit
D(E_F)   1.121 states/eV/atom
Energy of formation from the pure elements   -0.159 eV per atom

The structure in POSCAR format:
```
Y3Sc2Al2
1.0
-3.0704 -1.3985 0.8980
1.6115 -4.4205 -1.3742
4.3428 1.2093 9.9448
Y Sc Al
3 2 2
Cartesian
2.2648 -2.8968 3.2323
0.0000 0.0000 0.0000
0.6192 -1.7130 6.2363
-0.2169 -3.1507 1.1388
3.1008 -1.4590 8.3298
3.3767 -3.4199 6.2192
-0.4927 -1.1898 3.2494
```

# Y5ScAl6

A geometry-optimized Y5ScAl6 structure (GGA-PBE, Alexandria).

Output
V   22.8 Å³/atom
Symmetry   C2/m
Total magnetization   0.000 μB per formula unit
D(E_F)   0.346 states/eV/atom
Energy of formation from the pure elements   -0.416 eV per atom

The structure in POSCAR format:
```
Y5ScAl6
1.0
4.9991 -0.3161 0.8070
-0.0194 6.5449 2.6838
1.1465 0.2692 8.6744
Y Al Sc
5 6 1
Cartesian
4.0779 4.3092 8.1657
2.0483 2.1887 3.9995
-0.0097 3.2725 1.3419
4.1187 1.0987 6.6728
2.0074 5.3992 5.4924
1.5735 6.1756 8.4805
3.6416 1.5945 9.6862
1.5836 2.7464 7.0743
2.4846 4.9035 2.4790
4.5425 3.7516 5.0909
4.5527 0.3224 3.6847
0.0000 0.0000 0.0000
```

# YSc2Al

A geometry-optimized YSc2Al structure (GGA-PBE, Alexandria).

Output
V   23.6 Å³/atom
Symmetry   I4/mmm
Total magnetization   0.127 μB per formula unit
D(E_F)   1.553 states/eV/atom
Energy of formation from the pure elements   -0.150 eV per atom

The structure in POSCAR format:
```
YSc2Al
1.0
-4.0745 0.1402 -3.9479
-4.4672 -3.1988 1.4208
2.9511 4.0165 2.7140
Sc Al Y
2 1 1
Cartesian
0.0000 0.0000 0.0000
-4.2709 -1.5293 -1.2636
-2.6971 1.3137 -1.2487
-2.8935 -0.3558 1.4356
```

# YSc2Al6

A geometry-optimized YSc2Al6 structure (GGA-PBE, Alexandria).

Output
V   21.4 Å³/atom
Symmetry   Immm
Total magnetization   0.000 μB per formula unit
D(E_F)   0.566 states/eV/atom
Relative energy among the computed polymorphs   184 meV per atom
Energy of formation from the pure elements   -0.282 eV per atom

The structure in POSCAR format:
```
YSc2Al6
1.0
-0.2160 0.3717 4.2323
2.3187 -6.7776 2.8515
7.0363 -1.7106 2.6474
Al Y Sc
6 1 2
Cartesian
7.8057 -4.2091 5.0440
3.6985 -4.9938 4.9033
5.4405 -3.1227 4.8279
4.9604 -7.2652 5.1671
4.1785 -0.8514 4.5640
1.3332 -3.9075 4.6871
0.0000 0.0000 0.0000
5.6113 -4.9368 7.1339
3.5277 -3.1797 2.5973
```

# YScAl

A geometry-optimized YScAl structure (GGA-PBE, Alexandria).

Output
V   27.9 Å³/atom
Symmetry   R-3m
Total magnetization   0.000 μB per formula unit
D(E_F)   1.453 states/eV/atom
Relative energy among the computed polymorphs   277 meV per atom
Energy of formation from the pure elements   -0.027 eV per atom

The structure in POSCAR format:
```
YScAl
1.0
4.9101 0.0000 0.0000
2.4550 4.2522 0.0000
2.4550 1.4174 8.0299
Y Al Sc
2 2 2
Cartesian
7.3651 4.2522 2.9047
2.4550 1.4174 5.1252
7.3651 4.2522 6.1085
2.4550 1.4174 1.9213
4.9101 2.8348 7.1323
4.9101 2.8348 0.8976
```

# Y2Sc5Al4

A geometry-optimized Y2Sc5Al4 structure (GGA-PBE, Alexandria).

Output
V   22.6 Å³/atom
Symmetry   P2/m
Total magnetization   0.639 μB per formula unit
D(E_F)   1.108 states/eV/atom
Energy of formation from the pure elements   -0.207 eV per atom

The structure in POSCAR format:
```
Y2Sc5Al4
1.0
-1.1264 -2.8858 0.4123
7.4426 -3.0985 -1.3539
-0.3493 1.5578 9.9499
Al Sc Y
4 5 2
Cartesian
0.5577 -0.9500 6.7189
1.2224 -1.9832 1.3030
5.4091 -3.4765 2.2894
4.7445 -2.4433 7.7052
2.2098 -3.3187 6.4972
0.3983 1.0964 8.7627
6.6950 -2.6371 -0.1667
3.7213 -1.5492 -0.6770
3.7570 -1.1077 2.5111
6.0280 -1.6707 4.7757
1.0652 0.1300 3.8202
```

# Y3ScAl

A geometry-optimized Y3ScAl structure (GGA-PBE, Alexandria).

Output
V   33.7 Å³/atom
Symmetry   Pm-3m
Total magnetization   0.256 μB per formula unit
D(E_F)   2.251 states/eV/atom
Relative energy among the computed polymorphs   0 meV per atom
Energy of formation from the pure elements   0.383 eV per atom

The structure in POSCAR format:
```
Y3ScAl
1.0
5.5240 0.0000 0.0000
0.0000 5.5240 0.0000
0.0000 0.0000 5.5240
Y Al Sc
3 1 1
Cartesian
2.7620 0.0000 0.0000
0.0000 0.0000 2.7620
0.0000 2.7620 0.0000
0.0000 0.0000 0.0000
2.7620 2.7620 2.7620
```

# YSc2Al

A geometry-optimized YSc2Al structure (GGA-PBE, Alexandria).

Output
V   23.5 Å³/atom
Symmetry   P4/mmm
Total magnetization   0.014 μB per formula unit
D(E_F)   1.410 states/eV/atom
Energy of formation from the pure elements   -0.211 eV per atom

The structure in POSCAR format:
```
YSc2Al
1.0
-2.2216 3.5048 -1.8125
-3.9184 -2.2147 0.5202
-0.4894 1.8446 4.1668
Sc Al Y
2 1 1
Cartesian
-3.0700 0.6451 -0.6462
0.0000 0.0000 0.0000
-2.2039 -0.1850 2.3435
-1.3555 2.6747 1.1772
```

# YSc2Al

A geometry-optimized YSc2Al structure (GGA-PBE, Alexandria).

Output
V   23.9 Å³/atom
Symmetry   Pm
Total magnetization   0.002 μB per formula unit
D(E_F)   1.515 states/eV/atom
Energy of formation from the pure elements   -0.149 eV per atom

The structure in POSCAR format:
```
YSc2Al
1.0
-2.1692 -1.4717 -3.5344
0.9556 -3.1655 0.7316
-4.3344 -3.9325 4.2976
Sc Al Y
2 1 1
Cartesian
-4.2985 -3.9243 4.2722
-1.8499 -2.4982 -0.5637
-3.6857 -6.0698 2.0502
-1.7377 -3.5587 2.5483
```

# Y3ScAl

A geometry-optimized Y3ScAl structure (GGA-PBE, Alexandria).

Output
V   31.5 Å³/atom
Symmetry   Pm-3m
Total magnetization   0.000 μB per formula unit
D(E_F)   1.348 states/eV/atom
Relative energy among the computed polymorphs   366 meV per atom
Energy of formation from the pure elements   0.749 eV per atom

The structure in POSCAR format:
```
Y3ScAl
1.0
5.4031 0.0000 0.0000
0.0000 5.4031 0.0000
0.0000 0.0000 5.4031
Sc Y Al
1 3 1
Cartesian
0.0000 0.0000 0.0000
2.7016 0.0000 0.0000
0.0000 0.0000 2.7016
0.0000 2.7016 0.0000
2.7016 2.7016 2.7016
```

# Y2Sc2Al

A geometry-optimized Y2Sc2Al structure (GGA-PBE, Alexandria).

Output
V   26.8 Å³/atom
Symmetry   P4/mbm
Total magnetization   0.000 μB per formula unit
D(E_F)   1.536 states/eV/atom
Energy of formation from the pure elements   0.000 eV per atom

The structure in POSCAR format:
```
Y2Sc2Al
1.0
7.4756 0.0000 0.0000
0.0000 7.4756 0.0000
0.0000 0.0000 4.7880
Sc Y Al
4 4 2
Cartesian
4.8205 1.0827 0.0000
6.3929 4.8205 0.0000
1.0827 2.6551 0.0000
2.6551 6.3929 0.0000
2.5391 1.1987 2.3940
4.9365 6.2769 2.3940
1.1987 4.9365 2.3940
6.2769 2.5391 2.3940
0.0000 0.0000 0.0000
3.7378 3.7378 0.0000
```